8
Lattice="-2.987 2.987 3.190 2.987 -2.987 3.190 2.987 2.987 -3.190" Properties=species:S:1:pos:R:3 comment="PBE TlCuAg2O4, optimized geometry" density_g_cm3=7.99 pbc="T T T"
Tl 0.000 0.000 0.000
Cu 0.000 0.000 3.190
Ag 2.987 0.000 1.595
Ag 0.000 2.987 1.595
O 2.001 2.001 -1.398
O 0.986 0.986 1.793
O 0.986 -0.986 4.588
O -0.986 0.986 4.588

20
Lattice="5.109 -4.877 0.000 5.109 4.877 0.000 -0.940 0.000 5.423" Properties=species:S:1:pos:R:3 comment="PBE UCu2AgO6, optimized geometry" density_g_cm3=6.99 pbc="T T T"
U 4.404 2.722 4.067
U 4.874 -2.722 1.356
Cu 1.206 0.870 4.468
Cu 1.676 -0.870 1.756
Cu 7.603 0.870 3.667
Cu 8.073 -0.870 0.955
Ag 4.874 0.856 1.356
Ag 4.404 -0.856 4.067
O 1.209 0.739 0.729
O 3.580 2.679 2.246
O 0.739 -0.739 3.441
O 3.084 1.091 4.758
O 6.169 2.679 0.465
O 3.554 -1.091 2.047
O 5.725 1.091 3.377
O 3.110 -2.679 4.958
O 6.195 -1.091 0.665
O 8.539 0.739 1.982
O 5.699 -2.679 3.177
O 8.070 -0.739 4.694

10
Lattice="5.574 -2.806 0.000 5.574 2.806 0.000 -2.239 0.000 4.532" Properties=species:S:1:pos:R:3 comment="PBE UCuAg2O6, optimized geometry" density_g_cm3=7.18 pbc="T T T"
U 0.000 0.000 0.000
Cu 4.455 0.000 2.266
Ag 1.377 0.000 3.117
Ag 7.533 0.000 1.415
O 1.891 0.000 0.029
O 3.263 1.283 2.901
O 5.647 1.283 1.631
O 3.263 -1.283 2.901
O 5.647 -1.283 1.631
O 7.019 0.000 4.503

no.,formation energy from raw total energies (eV/atom)
1,-0.268
2,-1.346
3,-1.310